# 1
Material: TmTiSn2
Method: DFT, PBE
State: optimized geometry

energy above the lowest structure with this stoichiometry = 0.316 eV per formula unit
magnetization = 0.00 μB/atom
space group = No. 166
ΔE_f = -0.243 eV per atom

Cell and atoms, written as CIF:
```
data_TmTiSn2
_space_group_name_H-M_alt 'P 1'
_space_group_IT_number 1
_cell_length_a 9.866
_cell_length_b 9.866
_cell_length_c 9.866
_cell_angle_alpha 19.42
_cell_angle_beta 19.42
_cell_angle_gamma 19.42
loop_
_space_group_symop_operation_xyz
'x,y,z'
loop_
_atom_site_label
_atom_site_fract_x
_atom_site_fract_y
_atom_site_fract_z
Tm1 0.000 0.000 0.000
Ti1 0.500 0.500 0.500
Sn1 0.243 0.243 0.243
Sn2 0.757 0.757 0.757
```

# 2
Material: TmTiSn
Method: DFT, PBE
State: optimized geometry

energy above the lowest structure with this stoichiometry = 0.976 eV per formula unit
magnetization = 0.60 μB/atom
space group = No. 156
ΔE_f = -0.178 eV per atom

Cell and atoms, written as CIF:
```
data_TmTiSn
_space_group_name_H-M_alt 'P 1'
_space_group_IT_number 1
_cell_length_a 4.933
_cell_length_b 4.933
_cell_length_c 3.337
_cell_angle_alpha 90.00
_cell_angle_beta 90.00
_cell_angle_gamma 120.00
loop_
_space_group_symop_operation_xyz
'x,y,z'
loop_
_atom_site_label
_atom_site_fract_x
_atom_site_fract_y
_atom_site_fract_z
Tm1 0.000 0.000 0.000
Ti1 0.667 0.333 0.498
Sn1 0.333 0.667 0.503
```

# 3
Material: Tm2TiSn
Method: DFT, PBE
State: optimized geometry

magnetization = 0.56 μB/atom
space group = No. 123
ΔE_f = -0.260 eV per atom

Cell and atoms, written as CIF:
```
data_Tm2TiSn
_space_group_name_H-M_alt 'P 1'
_space_group_IT_number 1
_cell_length_a 4.719
_cell_length_b 4.719
_cell_length_c 4.359
_cell_angle_alpha 90.00
_cell_angle_beta 90.00
_cell_angle_gamma 90.00
loop_
_space_group_symop_operation_xyz
'x,y,z'
loop_
_atom_site_label
_atom_site_fract_x
_atom_site_fract_y
_atom_site_fract_z
Tm1 0.000 0.500 0.000
Tm2 0.500 0.000 0.000
Ti1 0.000 0.000 0.500
Sn1 0.500 0.500 0.500
```

# 4
Material: TmTiSn
Method: DFT, PBE
State: optimized geometry

energy above the lowest structure with this stoichiometry = 0.773 eV per formula unit
magnetization = 0.14 μB/atom
space group = No. 107
ΔE_f = -0.246 eV per atom

Cell and atoms, written as CIF:
```
data_TmTiSn
_space_group_name_H-M_alt 'P 1'
_space_group_IT_number 1
_cell_length_a 5.836
_cell_length_b 5.836
_cell_length_c 5.836
_cell_angle_alpha 144.04
_cell_angle_beta 144.04
_cell_angle_gamma 51.76
loop_
_space_group_symop_operation_xyz
'x,y,z'
loop_
_atom_site_label
_atom_site_fract_x
_atom_site_fract_y
_atom_site_fract_z
Tm1 0.000 0.000 0.000
Ti1 0.327 0.327 0.000
Sn1 0.687 0.687 0.000
```

# 5
Material: TmTiSn
Method: DFT, PBE
State: optimized geometry

energy above the lowest structure with this stoichiometry = 1.336 eV per formula unit
magnetization = 0.36 μB/atom
space group = No. 129
ΔE_f = -0.058 eV per atom

Cell and atoms, written as CIF:
```
data_TmTiSn
_space_group_name_H-M_alt 'P 1'
_space_group_IT_number 1
_cell_length_a 4.866
_cell_length_b 4.866
_cell_length_c 6.648
_cell_angle_alpha 90.00
_cell_angle_beta 90.00
_cell_angle_gamma 90.00
loop_
_space_group_symop_operation_xyz
'x,y,z'
loop_
_atom_site_label
_atom_site_fract_x
_atom_site_fract_y
_atom_site_fract_z
Tm1 0.250 0.750 0.000
Tm2 0.750 0.250 0.000
Ti1 0.250 0.750 0.500
Ti2 0.750 0.250 0.500
Sn1 0.250 0.250 0.280
Sn2 0.750 0.750 0.720
```

# 6
Material: TmTiSn2
Method: DFT, PBE
State: optimized geometry

energy above the lowest structure with this stoichiometry = 0.000 eV per formula unit
magnetization = 0.04 μB/atom
space group = No. 123
ΔE_f = -0.322 eV per atom

Cell and atoms, written as CIF:
```
data_TmTiSn2
_space_group_name_H-M_alt 'P 1'
_space_group_IT_number 1
_cell_length_a 4.557
_cell_length_b 4.557
_cell_length_c 4.332
_cell_angle_alpha 90.00
_cell_angle_beta 90.00
_cell_angle_gamma 90.00
loop_
_space_group_symop_operation_xyz
'x,y,z'
loop_
_atom_site_label
_atom_site_fract_x
_atom_site_fract_y
_atom_site_fract_z
Tm1 0.000 0.000 0.000
Ti1 0.500 0.500 0.000
Sn1 0.000 0.500 0.500
Sn2 0.500 0.000 0.500
```

# 7
Material: TmTiSn2
Method: DFT, PBE
State: optimized geometry

energy above the lowest structure with this stoichiometry = 0.041 eV per formula unit
magnetization = 0.00 μB/atom
space group = No. 123
ΔE_f = -0.312 eV per atom

Cell and atoms, written as CIF:
```
data_TmTiSn2
_space_group_name_H-M_alt 'P 1'
_space_group_IT_number 1
_cell_length_a 3.743
_cell_length_b 3.743
_cell_length_c 6.545
_cell_angle_alpha 90.00
_cell_angle_beta 90.00
_cell_angle_gamma 90.00
loop_
_space_group_symop_operation_xyz
'x,y,z'
loop_
_atom_site_label
_atom_site_fract_x
_atom_site_fract_y
_atom_site_fract_z
Tm1 0.000 0.000 0.000
Ti1 0.000 0.000 0.500
Sn1 0.500 0.500 0.278
Sn2 0.500 0.500 0.722
```

# 8
Material: TmTiZnSn
Method: DFT, PBE
State: optimized geometry

magnetization = 0.32 μB/atom
space group = No. 216
ΔE_f = -0.233 eV per atom

Cell and atoms, written as CIF:
```
data_TmTiZnSn
_space_group_name_H-M_alt 'P 1'
_space_group_IT_number 1
_cell_length_a 4.898
_cell_length_b 4.898
_cell_length_c 4.898
_cell_angle_alpha 60.00
_cell_angle_beta 60.00
_cell_angle_gamma 60.00
loop_
_space_group_symop_operation_xyz
'x,y,z'
loop_
_atom_site_label
_atom_site_fract_x
_atom_site_fract_y
_atom_site_fract_z
Tm1 0.000 0.000 0.000
Ti1 0.500 0.500 0.500
Zn1 0.250 0.250 0.250
Sn1 0.750 0.750 0.750
```

# 9
Material: U3TiSn5
Method: DFT, PBE
State: optimized geometry

magnetization = 0.74 μB/atom
space group = No. 193
ΔE_f = -0.111 eV per atom

Cell and atoms, written as CIF:
```
data_U3TiSn5
_space_group_name_H-M_alt 'P 1'
_space_group_IT_number 1
_cell_length_a 9.145
_cell_length_b 9.145
_cell_length_c 6.045
_cell_angle_alpha 90.00
_cell_angle_beta 90.00
_cell_angle_gamma 120.00
loop_
_space_group_symop_operation_xyz
'x,y,z'
loop_
_atom_site_label
_atom_site_fract_x
_atom_site_fract_y
_atom_site_fract_z
U1 0.000 0.391 0.250
U2 0.000 0.609 0.750
U3 0.391 0.000 0.250
U4 0.391 0.391 0.750
U5 0.609 0.000 0.750
U6 0.609 0.609 0.250
Ti1 0.000 0.000 0.000
Ti2 0.000 0.000 0.500
Sn1 0.000 0.263 0.750
Sn2 0.000 0.737 0.250
Sn3 0.263 0.000 0.750
Sn4 0.263 0.263 0.250
Sn5 0.333 0.667 0.000
Sn6 0.333 0.667 0.500
Sn7 0.667 0.333 0.000
Sn8 0.667 0.333 0.500
Sn9 0.737 0.000 0.250
Sn10 0.737 0.737 0.750
```

# 10
Material: UTiVSn
Method: DFT, PBE
State: optimized geometry

magnetization = 0.27 μB/atom
space group = No. 216
ΔE_f = 0.054 eV per atom

Cell and atoms, written as CIF:
```
data_UTiVSn
_space_group_name_H-M_alt 'P 1'
_space_group_IT_number 1
_cell_length_a 4.718
_cell_length_b 4.718
_cell_length_c 4.718
_cell_angle_alpha 60.00
_cell_angle_beta 60.00
_cell_angle_gamma 60.00
loop_
_space_group_symop_operation_xyz
'x,y,z'
loop_
_atom_site_label
_atom_site_fract_x
_atom_site_fract_y
_atom_site_fract_z
U1 0.000 0.000 0.000
Ti1 0.750 0.750 0.750
V1 0.250 0.250 0.250
Sn1 0.500 0.500 0.500
```

# 11
Material: TiV2Sn
Method: DFT, PBE
State: optimized geometry

magnetization = 0.00 μB/atom
space group = No. 123
ΔE_f = -0.060 eV per atom

Cell and atoms, written as CIF:
```
data_TiV2Sn
_space_group_name_H-M_alt 'P 1'
_space_group_IT_number 1
_cell_length_a 3.875
_cell_length_b 3.875
_cell_length_c 4.312
_cell_angle_alpha 90.00
_cell_angle_beta 90.00
_cell_angle_gamma 90.00
loop_
_space_group_symop_operation_xyz
'x,y,z'
loop_
_atom_site_label
_atom_site_fract_x
_atom_site_fract_y
_atom_site_fract_z
Ti1 0.000 0.000 0.000
V1 0.000 0.500 0.500
V2 0.500 0.000 0.500
Sn1 0.500 0.500 0.000
```

# 12
Material: TiVSn2
Method: DFT, PBE
State: optimized geometry

energy above the lowest structure with this stoichiometry = 0.000 eV per formula unit
magnetization = 0.39 μB/atom
space group = No. 123
ΔE_f = 0.041 eV per atom

Cell and atoms, written as CIF:
```
data_TiVSn2
_space_group_name_H-M_alt 'P 1'
_space_group_IT_number 1
_cell_length_a 4.324
_cell_length_b 4.324
_cell_length_c 4.069
_cell_angle_alpha 90.00
_cell_angle_beta 90.00
_cell_angle_gamma 90.00
loop_
_space_group_symop_operation_xyz
'x,y,z'
loop_
_atom_site_label
_atom_site_fract_x
_atom_site_fract_y
_atom_site_fract_z
Ti1 0.000 0.000 0.000
V1 0.500 0.500 0.000
Sn1 0.000 0.500 0.500
Sn2 0.500 0.000 0.500
```

# 13
Material: Ti4VSn2
Method: DFT, PBE
State: optimized geometry

magnetization = 0.00 μB/atom
space group = No. 55
ΔE_f = 0.058 eV per atom

Cell and atoms, written as CIF:
```
data_Ti4VSn2
_space_group_name_H-M_alt 'P 1'
_space_group_IT_number 1
_cell_length_a 8.210
_cell_length_b 10.451
_cell_length_c 3.079
_cell_angle_alpha 90.00
_cell_angle_beta 90.00
_cell_angle_gamma 90.00
loop_
_space_group_symop_operation_xyz
'x,y,z'
loop_
_atom_site_label
_atom_site_fract_x
_atom_site_fract_y
_atom_site_fract_z
Ti1 0.140 0.196 0.000
Ti2 0.213 0.904 0.500
Ti3 0.287 0.404 0.500
Ti4 0.360 0.696 0.000
Ti5 0.640 0.304 0.000
Ti6 0.713 0.596 0.500
Ti7 0.787 0.096 0.500
Ti8 0.860 0.804 0.000
V1 0.000 0.000 0.000
V2 0.500 0.500 0.000
Sn1 0.071 0.636 0.500
Sn2 0.429 0.136 0.500
Sn3 0.571 0.864 0.500
Sn4 0.929 0.364 0.500
```